## DyYCdHg (GGA-PBE)

Data for a relaxed structure of DyYCdHg.

Properties
For the total energy, the calculation gives -55.731 eV/cell. As for the crystal system: cubic. Its volume is 417 Å³/cell. The formation enthalpy at 0 K is -0.4124 eV/atom. The magnetization comes out at 0.2 μB per formula unit.

Cell and atoms, written as CIF:
```
data_DyYCdHg
_cell_length_a 7.4688
_cell_length_b 7.4688
_cell_length_c 7.4688
_cell_angle_alpha 90.00
_cell_angle_beta 90.00
_cell_angle_gamma 90.00
_space_group_name_H-M_alt 'F -4 3 m'
_space_group_IT_number 216
_space_group_name_Hall 'F -4 2 3'
loop_
_atom_site_label
_atom_site_fract_x
_atom_site_fract_y
_atom_site_fract_z
Dy1 0.0000 0.0000 0.0000
Y1 0.0000 0.0000 0.5000
Cd1 0.2500 0.2500 0.7500
Hg1 0.2500 0.2500 0.2500
```

## YAgSb2 (GGA-PBE)

Data for a relaxed structure of YAgSb2.

Properties
The value obtained for the energy relative to the elements, uncorrected is -195 meV per atom. For the total energy, the calculation gives -18.339 eV/cell. As for the crystal system: tetragonal. Its volume is 105 Å³/cell. The magnetization comes out at 0.0 μB per formula unit.

Cell and atoms, written as CIF:
```
data_YAgSb2
_cell_length_a 3.3981
_cell_length_b 3.3981
_cell_length_c 9.1006
_cell_angle_alpha 90.00
_cell_angle_beta 90.00
_cell_angle_gamma 90.00
_space_group_name_H-M_alt 'P 4 m m'
_space_group_IT_number 99
loop_
_space_group_symop_operation_xyz
'x,y,z'
'-y,x,z'
'-x,-y,z'
'y,-x,z'
'-x,y,z'
'y,x,z'
'x,-y,z'
'-y,-x,z'
loop_
_atom_site_label
_atom_site_fract_x
_atom_site_fract_y
_atom_site_fract_z
Y1 0.0000 0.0000 0.0000
Ag1 0.5000 0.5000 0.2218
Sb1 0.0000 0.0000 0.4213
Sb2 0.5000 0.5000 0.7602
```

## Ti2GaIr2 (GGA-PBE)

Data for a relaxed structure of Ti2GaIr2.

Properties
For the total energy, the calculation gives -79.749 eV/cell. As for the crystal system: tetragonal. Its volume is 161 Å³/cell. The formation enthalpy at 0 K is -0.6672 eV/atom. The magnetization comes out at 0.0 μB per formula unit.

Cell and atoms, written as CIF:
```
data_Ti2GaIr2
_cell_length_a 7.3734
_cell_length_b 7.3734
_cell_length_c 2.9583
_cell_angle_alpha 90.00
_cell_angle_beta 90.00
_cell_angle_gamma 90.00
_space_group_name_H-M_alt 'P 4/m b m'
_space_group_IT_number 127
_space_group_name_Hall '-P 4 2ab'
loop_
_atom_site_label
_atom_site_fract_x
_atom_site_fract_y
_atom_site_fract_z
Ti1 0.1620 0.3380 0.0000
Ga1 0.0000 0.0000 0.5000
Ir1 0.1354 0.6354 0.5000
```

## PaPdPb (GGA-PBE)

Data for a relaxed structure of PaPdPb.

Properties
For the total energy, the calculation gives -38.175 eV/cell. As for the crystal system: tetragonal. Its volume is 141 Å³/cell. The formation enthalpy at 0 K is -0.2301 eV/atom. The magnetization comes out at 0.5 μB per formula unit.

Cell and atoms, written as CIF:
```
data_PaPdPb
_cell_length_a 3.4478
_cell_length_b 3.4478
_cell_length_c 11.8698
_cell_angle_alpha 90.00
_cell_angle_beta 90.00
_cell_angle_gamma 90.00
_space_group_name_H-M_alt 'I 4 m m'
_space_group_IT_number 107
_space_group_name_Hall 'I 4 -2'
loop_
_atom_site_label
_atom_site_fract_x
_atom_site_fract_y
_atom_site_fract_z
Pa1 0.0000 0.0000 0.0000
Pd1 0.0000 0.0000 0.3646
Pb1 0.0000 0.0000 0.7037
```

Number 1: N(E_F) 16.152 states/eV per cell. Number 2: N(E_F) 1.348 states/eV per cell. Number 3: N(E_F) 8.940 states/eV per cell. Number 4: N(E_F) 6.315 states/eV per cell.